No. 1
A plane-wave DFT calculation with PBE was carried out for a relaxed TePAu2 crystal.

a = 4.8454 Å, b = 4.8454 Å, c = 4.8454 Å
α = 60.00°, β = 60.00°, γ = 60.00°
Closest atoms and distances in Å follow each position.
Positions (direct):
1 Au 0.7500 0.7500 0.7500  4 Te 2.97, 4 P 2.97
2 Au 0.2500 0.2500 0.2500  4 Te 2.97, 4 P 2.97
3 Te 0.5000 0.5000 0.5000  8 Au 2.97
4 P 0.0000 0.0000 0.0000  8 Au 2.97

- E_tot (eV/atom) = -3.23
- E_form (uncorrected) (eV per atom) = 0.54
- volume (A^3/atom) = 20.11
- excess energy over the best structure of this formula in the dataset (meV per atom) = 485

No. 2
A plane-wave DFT calculation with PBE was carried out for a relaxed MnMoS crystal.

a = 3.1835 Å, b = 9.7752 Å, c = 4.9486 Å
α = 90.00°, β = 90.00°, γ = 90.00°
Closest atoms and distances in Å follow each position.
Positions (direct):
1 Mo 0.5000 0.2987 0.0438  3 S 2.33-2.48
2 Mo 0.0000 0.7987 0.0438  3 S 2.33-2.48
3 Mo 0.0000 0.2013 0.5438  3 S 2.33-2.48
4 Mo 0.5000 0.7013 0.5438  3 S 2.33-2.48
5 S 0.0000 0.8931 0.6114  2 Mn 2.12, 1 Mo 2.33
6 S 0.5000 0.6069 0.1114  2 Mn 2.12, 1 Mo 2.33
7 S 0.5000 0.3931 0.6114  2 Mn 2.12, 1 Mo 2.33
8 S 0.0000 0.1069 0.1114  2 Mn 2.12, 1 Mo 2.33
9 Mn 0.0000 0.5328 0.8683  2 S 2.12
10 Mn 0.0000 0.4672 0.3683  2 S 2.12
11 Mn 0.5000 0.0328 0.8683  2 S 2.12
12 Mn 0.5000 0.9672 0.3683  2 S 2.12

- E_tot (eV/atom) = -8.18
- E_form (uncorrected) (eV per atom) = -0.14
- volume (A^3/atom) = 12.83
- excess energy over the best structure of this formula in the dataset (meV per atom) = 73

No. 3
A plane-wave DFT calculation with PBE was carried out for a relaxed HfTl2Pd2 crystal.

a = 6.9350 Å, b = 6.9350 Å, c = 4.4028 Å
α = 90.00°, β = 90.00°, γ = 90.00°
Closest atoms and distances in Å follow each position.
Positions (direct):
1 Hf 0.0000 0.0000 0.0000  4 Pd 2.70
2 Hf 0.5000 0.5000 0.0000  4 Pd 2.70
3 Pd 0.1355 0.3645 0.0000  1 Pd 2.66, 2 Hf 2.70, 2 Tl 2.88
4 Pd 0.6355 0.1355 0.0000  1 Pd 2.66, 2 Hf 2.70, 2 Tl 2.88
5 Pd 0.8645 0.6355 0.0000  1 Pd 2.66, 2 Hf 2.70, 2 Tl 2.88
6 Pd 0.3645 0.8645 0.0000  1 Pd 2.66, 2 Hf 2.70, 2 Tl 2.88
7 Tl 0.1758 0.6758 0.5000  6 Pd 2.88-3.10
8 Tl 0.6758 0.8242 0.5000  6 Pd 2.88-3.10
9 Tl 0.8242 0.3242 0.5000  6 Pd 2.88-3.10
10 Tl 0.3242 0.1758 0.5000  6 Pd 2.88-3.10

- E_tot (eV/atom) = -5.10
- volume (A^3/atom) = 21.17
- energy of formation from the pure elements (kcal/mol of atoms) = -1.881

No. 4
A plane-wave DFT calculation with PBE was carried out for a relaxed CaCd4Ni crystal.

a = 5.7112 Å, b = 5.7112 Å, c = 5.7112 Å
α = 60.00°, β = 60.00°, γ = 60.00°
Closest atoms and distances in Å follow each position.
Positions (direct):
1 Cd 0.8724 0.3759 0.3759  6 Cd 2.84-2.88
2 Cd 0.3759 0.3759 0.3759  6 Cd 2.84-2.88
3 Cd 0.3759 0.3759 0.8724  6 Cd 2.84-2.88
4 Cd 0.3759 0.8724 0.3759  6 Cd 2.84-2.88
5 Ni 0.7500 0.7500 0.7500  12 Cd 3.35, 4 Ca 3.50
6 Ca 0.0000 0.0000 0.0000  12 Cd 3.35, 4 Ni 3.50

- E_tot (eV/atom) = -1.87
- volume (A^3/atom) = 21.95
- energy of formation from the pure elements (kcal/mol of atoms) = 0.789
- excess energy over the best structure of this formula in the dataset (meV per atom) = 215

No. 5
A plane-wave DFT calculation with PBE was carried out for a relaxed PdPbO3 crystal.

a = 4.0036 Å, b = 4.0036 Å, c = 4.0036 Å
α = 90.00°, β = 90.00°, γ = 90.00°
Closest atoms and distances in Å follow each position.
Positions (direct):
1 Pd 0.0000 0.0000 0.0000  6 O 2.00
2 O 0.5000 0.0000 0.0000  2 Pd 2.00
3 O 0.0000 0.5000 0.0000  2 Pd 2.00
4 O 0.0000 0.0000 0.5000  2 Pd 2.00
5 Pb 0.5000 0.5000 0.5000  12 O 2.83

- E_tot (eV/atom) = -5.21
- E_form (uncorrected) (eV per atom) = -0.45
- volume (A^3/atom) = 12.83

No. 6
A plane-wave DFT calculation with PBE was carried out for a relaxed SrMgCdBr6 crystal.

a = 7.0786 Å, b = 7.0786 Å, c = 13.3408 Å
α = 90.00°, β = 90.00°, γ = 120.00°
Closest atoms and distances in Å follow each position.
Positions (direct):
1 Mg 0.6667 0.3333 0.7500  6 Br 2.70
2 Mg 0.3333 0.6667 0.2500  6 Br 2.70
3 Br 0.6463 0.6346 0.6330  1 Mg 2.70, 1 Cd 2.81
4 Br 0.6346 0.6463 0.1330  1 Mg 2.70, 1 Cd 2.81
5 Br 0.6463 0.0117 0.8670  1 Mg 2.70, 1 Cd 2.81
6 Br 0.9883 0.6346 0.8670  1 Mg 2.70, 1 Cd 2.81
7 Br 0.3537 0.9883 0.1330  1 Mg 2.70, 1 Cd 2.81
8 Br 0.3654 0.3537 0.8670  1 Mg 2.70, 1 Cd 2.81
9 Br 0.3654 0.0117 0.6330  1 Mg 2.70, 1 Cd 2.81
10 Br 0.9883 0.3537 0.6330  1 Mg 2.70, 1 Cd 2.81
11 Br 0.0117 0.6463 0.3670  1 Mg 2.70, 1 Cd 2.81
12 Br 0.0117 0.3654 0.1330  1 Mg 2.70, 1 Cd 2.81
13 Br 0.3537 0.3654 0.3670  1 Mg 2.70, 1 Cd 2.81
14 Br 0.6346 0.9883 0.3670  1 Mg 2.70, 1 Cd 2.81
15 Cd 0.3333 0.6667 0.7500  6 Br 2.81
16 Cd 0.6667 0.3333 0.2500  6 Br 2.81
17 Sr 0.0000 0.0000 0.5000  6 Br 3.10
18 Sr 0.0000 0.0000 0.0000  6 Br 3.10

- E_tot (eV/atom) = -3.03
- E_form (uncorrected) (eV per atom) = -1.45
- volume (A^3/atom) = 32.16